A plane-wave DFT calculation with PBE was carried out for a geometry-optimized Er4NiTeSe2 structure.

Cell: 7.205 3.982 7.238 Å, 90.00 108.18 90.00°
Space group P2/m (No. 10)
Symmetry-distinct sites (fractional):
Er: 0.226 0.000 0.214
Er: 0.253 0.500 0.776
Ni: 0.000 0.500 0.000
Te: 0.000 0.000 0.500
Se: 0.500 0.000 0.000
Se: 0.500 0.500 0.500

Total magnetic moment ... 0.0000 μB/atom
Raw formation energy ... -1230 meV/atom
Density of states at the Fermi level ... 4.800 states/eV per cell

A plane-wave DFT calculation with PBE was carried out for a geometry-optimized Er5SiNi2 structure.

Cell: 7.430 7.430 12.920 Å, 90.00 90.00 90.00°
Space group I4/mcm (No. 140)
Symmetry-distinct sites (fractional):
Er: 0.000 0.000 0.000
Er: 0.162 0.338 0.142
Si: 0.000 0.000 0.250
Ni: 0.126 0.374 0.500

Total magnetic moment ... 0.0000 μB/atom
Raw formation energy ... -457 meV/atom
Density of states at the Fermi level ... 29.379 states/eV per cell

A plane-wave DFT calculation with PBE was carried out for a geometry-optimized ErSi4Ni6 structure.

Cell: 6.6155 6.6155 3.6800 Å, 90.00 90.00 120.00°
Space group P-6m2 (No. 187)
Symmetry-distinct sites (fractional):
Er: 0.0000 0.0000 0.0000
Si: 0.3333 0.6667 0.0000
Si: 0.3910 0.1955 0.5000
Ni: 0.2039 0.4077 0.5000
Ni: 0.5352 0.0704 0.0000

Total magnetic moment ... 0.0000 μB/atom
Raw formation energy ... -696 meV/atom
Density of states at the Fermi level ... 4.639 states/eV per cell

A plane-wave DFT calculation with PBE was carried out for a geometry-optimized ErSiNi2 structure.

Cell: 3.554 3.809 4.990 Å, 90.00 90.00 90.00°
Space group Pmmm (No. 47)
Symmetry-distinct sites (fractional):
Er: 0.000 0.000 0.000
Si: 0.500 0.000 0.500
Ni: 0.500 0.500 0.249

Total magnetic moment ... 0.0000 μB/atom
Raw formation energy ... -448 meV/atom
Density of states at the Fermi level ... 2.299 states/eV per cell

A plane-wave DFT calculation with PBE was carried out for a geometry-optimized Er3SiNi3 structure.

Cell: 10.045 3.896 14.009 Å, 90.00 108.44 90.00°
Space group C2/m (No. 12)
Symmetry-distinct sites (fractional):
Er: 0.021 0.000 0.385
Er: 0.106 0.000 0.924
Er: 0.243 0.000 0.228
Si: 0.237 0.500 0.388
Ni: 0.041 0.500 0.234
Ni: 0.105 0.500 0.076
Ni: 0.163 0.500 0.534

Total magnetic moment ... 0.0000 μB/atom
Raw formation energy ... -601 meV/atom
Density of states at the Fermi level ... 20.491 states/eV per cell

A plane-wave DFT calculation with PBE was carried out for a geometry-optimized Er2Si3Ni2 structure.

Cell: 9.906 3.975 6.315 Å, 90.00 116.05 90.00°
Space group C2/m (No. 12)
Symmetry-distinct sites (fractional):
Er: 0.149 0.000 0.280
Si: 0.000 0.500 0.500
Si: 0.112 0.500 0.939
Ni: 0.138 0.000 0.745

Total magnetic moment ... 0.0000 μB/atom
Raw formation energy ... -693 meV/atom
Density of states at the Fermi level ... 5.756 states/eV per cell
Energy above the lowest structure with this stoichiometry ... 0.112 eV per atom